No. 1
First-principles (PBE-GGA) data for a geometry-optimized Na2TeAu2 structure, as listed in Alexandria via LeMat-Bulk.

## Properties
ΔE to the lowest computed polymorph: 189 meV per atom
density: 7.9 Mg/m³
symmetry: P4/mbm

Cell: 9.009 9.009 2.947 Å, 90.00 90.00 90.00°
Element x y z (fractional)
Na 0.321 0.821 0.000
Na 0.821 0.679 0.000
Na 0.679 0.179 0.000
Na 0.179 0.321 0.000
Te 0.000 0.000 0.000
Te 0.500 0.500 0.000
Au 0.113 0.613 0.500
Au 0.613 0.887 0.500
Au 0.887 0.387 0.500
Au 0.387 0.113 0.500

***

No. 2
First-principles (PBE-GGA) data for a geometry-optimized Co2MoOs structure, as listed in Alexandria via LeMat-Bulk.

## Properties
ΔH_f (0 K): 9.9 kJ/mol of atoms
ΔE to the lowest computed polymorph: 104 meV per atom
density: 13.1 Mg/m³
symmetry: Cm

Cell: 4.516 4.516 4.567 Å, 81.21 81.21 33.87°
Element x y z (fractional)
Co 0.998 0.998 0.007
Co 0.749 0.749 0.756
Mo 0.498 0.498 0.518
Os 0.256 0.256 0.219

***

No. 3
First-principles (PBE-GGA) data for a geometry-optimized LiNdHo2Hg4 structure, as listed in Alexandria via LeMat-Bulk.

## Properties
ΔH_f (0 K): -42.5 kJ/mol of atoms
density: 10.7 Mg/m³
symmetry: R-3m

Cell: 5.121 5.121 9.273 Å, 73.97 73.97 60.00°
Element x y z (fractional)
Li 0.500 0.500 0.500
Nd 0.000 0.000 0.000
Ho 0.757 0.757 0.729
Ho 0.243 0.243 0.271
Hg 0.384 0.384 0.848
Hg 0.873 0.873 0.382
Hg 0.127 0.127 0.618
Hg 0.616 0.616 0.152

***

No. 4
First-principles (PBE-GGA) data for a geometry-optimized Dy15Y4Tm structure, as listed in Alexandria via LeMat-Bulk.

## Properties
ΔH_f (0 K): 2.0 kJ/mol of atoms
density: 7.8 Mg/m³
symmetry: P4/mmm

Cell: 5.015 5.015 25.073 Å, 90.00 90.00 90.00°
Element x y z (fractional)
Dy 0.500 0.500 0.000
Dy 0.500 0.500 0.199
Dy 0.500 0.500 0.400
Dy 0.500 0.500 0.600
Dy 0.500 0.500 0.801
Dy 0.500 0.000 0.099
Dy 0.500 0.000 0.300
Dy 0.500 0.000 0.500
Dy 0.500 0.000 0.700
Dy 0.500 0.000 0.901
Dy 0.000 0.500 0.099
Dy 0.000 0.500 0.300
Dy 0.000 0.500 0.500
Dy 0.000 0.500 0.700
Dy 0.000 0.500 0.901
Y 0.000 0.000 0.199
Y 0.000 0.000 0.400
Y 0.000 0.000 0.600
Y 0.000 0.000 0.801
Tm 0.000 0.000 0.000

***

| no. | E_tot (eV/cell) |
| --- | --- |
| 1 | -26.7 |
| 2 | -35.9 |
| 3 | -20.6 |
| 4 | -99.0 |